Record 1
The following is a GGA-PBE calculation of a geometry-optimized CaTb2DyRh4 structure, from Alexandria via LeMat-Bulk.

a = 8.396 Å, b = 8.396 Å, c = 8.396 Å
α = 33.57°, β = 33.57°, γ = 33.57°
Fractional positions:
Ca 0.000 0.000 0.000
Tb 0.252 0.252 0.252
Tb 0.748 0.748 0.748
Dy 0.500 0.500 0.500
Rh 0.128 0.128 0.128
Rh 0.378 0.378 0.378
Rh 0.622 0.622 0.622
Rh 0.872 0.872 0.872

VASP energy = -6.411 eV per atom
E_form = -0.75 eV/atom

Record 2
The following is a GGA-PBE calculation of a geometry-optimized YNiBPt2 structure, from Alexandria via LeMat-Bulk.

a = 4.344 Å, b = 4.344 Å, c = 4.058 Å
α = 90.00°, β = 90.00°, γ = 90.00°
Fractional positions:
Y 0.000 0.000 0.000
Ni 0.500 0.500 0.000
B 0.500 0.500 0.500
Pt 0.000 0.500 0.500
Pt 0.500 0.000 0.500

VASP energy = -6.858 eV per atom
E_form = -0.66 eV/atom

Record 3
The following is a GGA-PBE calculation of a geometry-optimized B5C7 structure, from Alexandria via LeMat-Bulk.

a = 2.643 Å, b = 2.643 Å, c = 14.700 Å
α = 90.00°, β = 90.00°, γ = 120.00°
Fractional positions:
B 0.000 0.000 0.000
B 0.000 0.000 0.252
B 0.000 0.000 0.678
B 0.333 0.667 0.834
B 0.667 0.333 0.525
C 0.000 0.000 0.572
C 0.333 0.667 0.266
C 0.333 0.667 0.381
C 0.333 0.667 0.728
C 0.667 0.333 0.414
C 0.667 0.333 0.881
C 0.667 0.333 0.987

VASP energy = -7.778 eV per atom
E_form = 0.39 eV/atom
Distance to the lowest polymorph of the same formula = 0.1273 eV/atom

Record 4
The following is a GGA-PBE calculation of a geometry-optimized Mg2FePb structure, from Alexandria via LeMat-Bulk.

a = 5.678 Å, b = 5.678 Å, c = 4.761 Å
α = 113.48°, β = 113.48°, γ = 35.87°
Fractional positions:
Mg 0.000 0.000 0.000
Mg 0.216 0.216 0.716
Fe 0.717 0.717 0.214
Pb 0.439 0.439 0.439

VASP energy = -3.583 eV per atom
E_form = 0.26 eV/atom

Record 5
The following is a GGA-PBE calculation of a geometry-optimized InSnHgPb3 structure, from Alexandria via LeMat-Bulk.

a = 7.732 Å, b = 4.876 Å, c = 9.885 Å
α = 90.00°, β = 109.59°, γ = 90.00°
Fractional positions:
In 0.191 0.250 0.303
In 0.809 0.750 0.697
Sn 0.497 0.750 0.879
Sn 0.503 0.250 0.121
Hg 0.499 0.250 0.624
Hg 0.501 0.750 0.376
Pb 0.165 0.250 0.792
Pb 0.174 0.750 0.051
Pb 0.175 0.750 0.546
Pb 0.825 0.250 0.454
Pb 0.826 0.250 0.949
Pb 0.835 0.750 0.208

VASP energy = -3.006 eV per atom
E_form = 0.02 eV/atom

Record 6
The following is a GGA-PBE calculation of a geometry-optimized PuInIr4 structure, from Alexandria via LeMat-Bulk.

a = 5.321 Å, b = 5.321 Å, c = 5.321 Å
α = 60.00°, β = 60.00°, γ = 60.00°
Fractional positions:
Pu 0.000 0.000 0.000
In 0.250 0.250 0.250
Ir 0.127 0.624 0.624
Ir 0.624 0.127 0.624
Ir 0.624 0.624 0.127
Ir 0.624 0.624 0.624

VASP energy = -9.042 eV per atom
E_form = -0.29 eV/atom